A plane-wave DFT calculation with PBE-GGA was carried out for crystalline BaLiLaTl at its relaxed geometry.

Calculated volume ... 34.6 Å³/atom
Spin magnetization ... 0.00 μB/f.u.
Formation energy from the elements ... -14 kJ/mol of atoms

a = 8.2096 Å, b = 8.2096 Å, c = 8.2096 Å
α = 90.00°, β = 90.00°, γ = 90.00°
Closest atoms and distances in Å follow each position.
Space group F-43m (No. 216)
One atom of each set of equivalent atoms:
Ba  0.0000  0.0000  0.0000 (multiplicity 4)  4 Tl 3.55, 4 Li 3.55
Li  0.2500  0.2500  0.2500 (multiplicity 4)  4 La 3.55, 4 Ba 3.55
La  0.0000  0.0000  0.5000 (multiplicity 4)  4 Tl 3.55, 4 Li 3.55
Tl  0.2500  0.2500  0.7500 (multiplicity 4)  4 Ba 3.55, 4 La 3.55